No. 1
# RbIn2SnRh PBE optimized geometry
data_RbIn2SnRh
_cell_length_a 5.266
_cell_length_b 5.266
_cell_length_c 5.257
_cell_angle_alpha 90.00
_cell_angle_beta 90.00
_cell_angle_gamma 90.00
_space_group_name_H-M_alt 'P 4/m m m'
_space_group_IT_number 123
_space_group_name_Hall '-P 4 2'
loop_
_atom_site_label
_atom_site_type_symbol
_atom_site_fract_x
_atom_site_fract_y
_atom_site_fract_z
Rb1 Rb 0.000 0.000 0.000
In1 In 0.000 0.500 0.500
Sn1 Sn 0.500 0.500 0.000
Rh1 Rh 0.500 0.500 0.500
# - Formation energy from the elements: -0.151 eV/atom
# - Spin magnetization: 0.00 Bohr magnetons per cell
# - Calculated volume: 145.7 Å³ per cell
# - DOS at the Fermi energy: 0.7583 states/eV per atom

=====

No. 2
# Ac3Ge2SbPd9 PBE optimized geometry
data_Ac3Ge2SbPd9
_cell_length_a 6.6610
_cell_length_b 6.6610
_cell_length_c 9.1091
_cell_angle_alpha 90.00
_cell_angle_beta 90.00
_cell_angle_gamma 120.00
_space_group_name_H-M_alt 'P -3 m 1'
_space_group_IT_number 164
_space_group_name_Hall '-P 3 2"'
loop_
_atom_site_label
_atom_site_type_symbol
_atom_site_fract_x
_atom_site_fract_y
_atom_site_fract_z
Ac1 Ac 0.0000 0.0000 0.0000
Ac2 Ac 0.3333 0.6667 0.6955
Ge1 Ge 0.3333 0.6667 0.1732
Sb1 Sb 0.0000 0.0000 0.5000
Pd1 Pd 0.0000 0.5000 0.0000
Pd2 Pd 0.1450 0.2900 0.2799
# - Formation energy without anion corrections: -0.638 eV per atom
# - Spin magnetization: 0.00 Bohr magnetons per cell
# - Calculated volume: 350.0 Å³ per cell
# - DOS at the Fermi energy: 0.3109 states/eV per atom

=====

No. 3
# PuAgSbPt PBE optimized geometry
data_PuAgSbPt
_cell_length_a 6.995
_cell_length_b 6.995
_cell_length_c 6.995
_cell_angle_alpha 90.00
_cell_angle_beta 90.00
_cell_angle_gamma 90.00
_space_group_name_H-M_alt 'F -4 3 m'
_space_group_IT_number 216
_space_group_name_Hall 'F -4 2 3'
loop_
_atom_site_label
_atom_site_type_symbol
_atom_site_fract_x
_atom_site_fract_y
_atom_site_fract_z
Pu1 Pu 0.000 0.000 0.000
Ag1 Ag 0.250 0.250 0.750
Sb1 Sb 0.000 0.000 0.500
Pt1 Pt 0.250 0.250 0.250
# - Formation energy without anion corrections: -0.345 eV per atom
# - Spin magnetization: 21.68 Bohr magnetons per cell
# - Calculated volume: 342.2 Å³ per cell
# - DOS at the Fermi energy: 3.3715 states/eV per atom

=====

Repeat the second record exactly.
# Ac3Ge2SbPd9 PBE optimized geometry
data_Ac3Ge2SbPd9
_cell_length_a 6.6610
_cell_length_b 6.6610
_cell_length_c 9.1091
_cell_angle_alpha 90.00
_cell_angle_beta 90.00
_cell_angle_gamma 120.00
_space_group_name_H-M_alt 'P -3 m 1'
_space_group_IT_number 164
_space_group_name_Hall '-P 3 2"'
loop_
_atom_site_label
_atom_site_type_symbol
_atom_site_fract_x
_atom_site_fract_y
_atom_site_fract_z
Ac1 Ac 0.0000 0.0000 0.0000
Ac2 Ac 0.3333 0.6667 0.6955
Ge1 Ge 0.3333 0.6667 0.1732
Sb1 Sb 0.0000 0.0000 0.5000
Pd1 Pd 0.0000 0.5000 0.0000
Pd2 Pd 0.1450 0.2900 0.2799
# - Formation energy without anion corrections: -0.638 eV per atom
# - Spin magnetization: 0.00 Bohr magnetons per cell
# - Calculated volume: 350.0 Å³ per cell
# - DOS at the Fermi energy: 0.3109 states/eV per atom